No. 1
Compound: KTl2VCl5
Source: the Alexandria database
Functional: PBE
Structure: optimized geometry

Results
**Density of states at the Fermi level**: 0.00 states/eV/atom
**V**: 270.5 Å³ per cell
**Formation energy (no corrections)**: -1.246 eV/atom
**Size of the total moment**: 3.00 μB/f.u.

a b c (Å): 4.8830 7.2492 8.8023
angles (deg): 114.32 106.10 90.00
With the nearest neighbours (Å) after each atom.
Sites, in units of the cell vectors:
1 V 0.5000 0.0000 0.0000  6 Cl 2.44-2.50
2 Cl 0.3841 0.6413 0.7682  1 V 2.50
3 Tl 0.2046 0.2046 0.4093  7 Cl 3.13-3.32
4 Cl 0.6159 0.8731 0.2318  1 V 2.50
5 K 0.0000 0.5000 0.0000  10 Cl 3.55-3.62
6 Cl 0.6159 0.3587 0.2318  1 V 2.50
7 Tl 0.7954 0.7954 0.5907  7 Cl 3.13-3.32
8 Cl 0.0000 0.0000 0.0000  2 V 2.44
9 Cl 0.3841 0.1269 0.7682  1 V 2.50

No. 2
Compound: KTlWCl2
Source: the Alexandria database
Functional: PBE
Structure: optimized geometry

Results
**Density of states at the Fermi level**: 0.19 states/eV/atom
**V**: 196.6 Å³ per cell
**Formation energy (no corrections)**: 0.440 eV/atom
**Size of the total moment**: 5.06 μB/f.u.

a b c (Å): 5.9616 5.5327 5.9616
angles (deg): 90.00 90.00 90.00
With the nearest neighbours (Å) after each atom.
Sites, in units of the cell vectors:
1 W 0.0000 0.5000 0.0000  2 Tl 2.77
2 Cl 0.0000 0.0000 0.5000  2 Tl 2.98
3 K 0.5000 0.5000 0.5000  8 Cl 4.07, 4 W 4.22
4 Tl 0.0000 0.0000 0.0000  2 W 2.77, 4 Cl 2.98
5 Cl 0.5000 0.0000 0.0000  2 Tl 2.98

No. 3
Compound: KTl2WCl8
Source: the Alexandria database
Functional: PBE
Structure: optimized geometry

Results
**Density of states at the Fermi level**: 0.49 states/eV/atom
**V**: 422.3 Å³ per cell
**Formation energy (no corrections)**: -1.075 eV/atom
**Size of the total moment**: 1.00 μB/f.u.

a b c (Å): 6.2089 8.2039 9.0766
angles (deg): 89.97 90.02 114.04
With the nearest neighbours (Å) after each atom.
Sites, in units of the cell vectors:
1 Cl 0.4034 0.1698 0.0003  1 W 2.32
2 Cl 0.5242 0.2729 0.4997  2 Tl 2.90, 1 K 3.11
3 Cl 0.9562 0.1893 0.8156  1 W 2.37
4 K 0.0000 0.0000 0.5000  6 Cl 3.11-3.32
5 W 0.0000 0.0000 0.0000  6 Cl 2.32-2.37
6 Cl 0.5966 0.8302 0.9997  1 W 2.32
7 Cl 0.4758 0.7271 0.5003  2 Tl 2.90, 1 K 3.11
8 Tl 0.5007 0.4997 0.7385  2 Cl 2.90
9 Cl 0.0438 0.8107 0.1844  1 W 2.37
10 Cl 0.9556 0.1890 0.1842  1 W 2.37
11 Cl 0.0444 0.8110 0.8158  1 W 2.37
12 Tl 0.4993 0.5003 0.2615  2 Cl 2.90

No. 4
Compound: KTlZn2Cl6
Source: the Alexandria database
Functional: PBE
Structure: optimized geometry

Results
**Density of states at the Fermi level**: 0.00 states/eV/atom
**V**: 642.0 Å³ per cell
**Formation energy (no corrections)**: -1.300 eV/atom
**Size of the total moment**: 0.00 μB/f.u.

a b c (Å): 6.9016 9.7003 9.7003
angles (deg): 89.62 83.85 83.85
With the nearest neighbours (Å) after each atom.
Sites, in units of the cell vectors:
1 Tl 0.7500 0.1019 0.8981  6 Cl 3.17-3.26
2 Cl 0.1865 0.9732 0.7802  1 Zn 2.25
3 Cl 0.1536 0.5877 0.1455  1 Zn 2.24
4 Zn 0.7735 0.2031 0.3738  4 Cl 2.24-2.37
5 Zn 0.7265 0.6262 0.7969  4 Cl 2.24-2.37
6 Cl 0.8135 0.0268 0.2198  1 Zn 2.25
7 Zn 0.2735 0.3738 0.2031  4 Cl 2.24-2.37
8 Cl 0.6865 0.7802 0.9732  1 Zn 2.25
9 Cl 0.5722 0.3947 0.2973  2 Zn 2.36-2.37
10 Cl 0.9278 0.7027 0.6053  2 Zn 2.36-2.37
11 Cl 0.6536 0.1455 0.5877  1 Zn 2.24
12 Cl 0.3464 0.8545 0.4123  1 Zn 2.24
13 Cl 0.3135 0.2198 0.0268  1 Zn 2.25
14 Tl 0.2500 0.8981 0.1019  6 Cl 3.17-3.26
15 K 0.2500 0.3047 0.6953  6 Cl 3.12-3.38
16 Cl 0.0722 0.2973 0.3947  2 Zn 2.36-2.37
17 Cl 0.8464 0.4123 0.8545  1 Zn 2.24
18 Cl 0.4278 0.6053 0.7027  2 Zn 2.36-2.37
19 K 0.7500 0.6953 0.3047  6 Cl 3.12-3.38
20 Zn 0.2265 0.7969 0.6262  4 Cl 2.24-2.37

No. 5
Compound: K2ZrTlCl6
Source: the Alexandria database
Functional: PBE
Structure: optimized geometry

Results
**Density of states at the Fermi level**: 0.20 states/eV/atom
**V**: 703.1 Å³ per cell
**Formation energy (no corrections)**: -1.580 eV/atom
**Size of the total moment**: 0.06 μB/f.u.

a b c (Å): 8.4847 8.4847 12.2954
angles (deg): 69.82 69.82 60.00
With the nearest neighbours (Å) after each atom.
Sites, in units of the cell vectors:
1 K 0.2594 0.2594 0.2218  3 Cl 3.19
2 Cl 0.8206 0.8206 0.1348  1 Zr 2.49
3 Tl 0.5976 0.5976 0.2072  6 Cl 3.03-3.19, 1 Zr 3.30
4 Zr 0.0000 0.0000 0.0000  6 Cl 2.49
5 Cl 0.7760 0.1794 0.8652  1 Zr 2.49
6 Cl 0.6274 0.1411 0.6041  1 Zr 2.66
7 Cl 0.2240 0.8206 0.1348  1 Zr 2.49
8 Cl 0.8206 0.2240 0.1348  1 Zr 2.49
9 K 0.1282 0.1282 0.6155  6 Cl 3.44-3.53
10 Cl 0.8589 0.3726 0.3959  1 Zr 2.66
11 Tl 0.4024 0.4024 0.7928  6 Cl 3.03-3.19, 1 Zr 3.30
12 K 0.8718 0.8718 0.3845  6 Cl 3.44-3.53
13 Cl 0.6274 0.6274 0.6041  1 Zr 2.66
14 K 0.7406 0.7406 0.7782  3 Cl 3.19
15 Cl 0.1794 0.7760 0.8652  1 Zr 2.49
16 Cl 0.1411 0.6274 0.6041  1 Zr 2.66
17 Cl 0.1794 0.1794 0.8652  1 Zr 2.49
18 Cl 0.3726 0.3726 0.3959  1 Zr 2.66
19 Zr 0.5000 0.5000 0.5000  6 Cl 2.66
20 Cl 0.3726 0.8589 0.3959  1 Zr 2.66

No. 6
Compound: KZrTl2Cl6
Source: the Alexandria database
Functional: PBE
Structure: optimized geometry

Results
**Density of states at the Fermi level**: 0.38 states/eV/atom
**V**: 731.5 Å³ per cell
**Formation energy (no corrections)**: -1.465 eV/atom
**Size of the total moment**: 1.01 μB/f.u.

a b c (Å): 7.5119 7.5119 15.5844
angles (deg): 76.05 76.05 60.00
With the nearest neighbours (Å) after each atom.
Sites, in units of the cell vectors:
1 Cl 0.8052 0.8052 0.0953  1 Zr 2.56
2 Cl 0.1948 0.7057 0.9047  1 Zr 2.56
3 K 0.5852 0.5852 0.2445  6 Cl 3.15-3.18
4 Cl 0.3700 0.3700 0.4033  1 Zr 2.56
5 K 0.4148 0.4148 0.7555  6 Cl 3.15-3.18
6 Zr 0.0000 0.0000 0.0000  6 Cl 2.56
7 Cl 0.6300 0.1432 0.5967  1 Zr 2.56
8 Cl 0.3700 0.8568 0.4033  1 Zr 2.56
9 Tl 0.3158 0.3158 0.0527  3 Cl 3.13
10 Cl 0.6300 0.6300 0.5967  1 Zr 2.56
11 Cl 0.8568 0.3700 0.4033  1 Zr 2.56
12 Cl 0.1948 0.1948 0.9047  1 Zr 2.56
13 Cl 0.1432 0.6300 0.5967  1 Zr 2.56
14 Tl 0.8493 0.8493 0.4522  3 Cl 3.10
15 Zr 0.5000 0.5000 0.5000  6 Cl 2.56
16 Tl 0.1507 0.1507 0.5478  3 Cl 3.10
17 Cl 0.8052 0.2943 0.0953  1 Zr 2.56
18 Cl 0.7057 0.1948 0.9047  1 Zr 2.56
19 Tl 0.6842 0.6842 0.9473  3 Cl 3.13
20 Cl 0.2943 0.8052 0.0953  1 Zr 2.56

No. 7
Compound: K2TmCl4
Source: the Alexandria database
Functional: PBE
Structure: optimized geometry

Results
**Density of states at the Fermi level**: 0.39 states/eV/atom
**V**: 224.3 Å³ per cell
**Formation energy (no corrections)**: -1.838 eV/atom
**Size of the total moment**: 0.17 μB/f.u.

a b c (Å): 5.2539 5.2539 8.9332
angles (deg): 72.90 72.90 90.00
With the nearest neighbours (Å) after each atom.
Sites, in units of the cell vectors:
1 Cl 0.5000 0.0000 0.0000  2 Tm 2.63
2 Cl 0.8371 0.8371 0.3258  1 Tm 2.65
3 K 0.3565 0.3565 0.2869  5 Cl 3.15-3.51
4 Tm 0.0000 0.0000 0.0000  6 Cl 2.63-2.65
5 Cl 0.0000 0.5000 0.0000  2 Tm 2.63
6 Cl 0.1629 0.1629 0.6742  1 Tm 2.65
7 K 0.6435 0.6435 0.7131  5 Cl 3.15-3.51

No. 8
Compound: KTmCl4
Source: the Alexandria database
Functional: PBE
Structure: optimized geometry

Results
**Density of states at the Fermi level**: 0.00 states/eV/atom
**V**: 393.2 Å³ per cell
**Formation energy (no corrections)**: -2.191 eV/atom
**Size of the total moment**: 0.00 μB/f.u.

a b c (Å): 6.6282 7.8646 8.9993
angles (deg): 113.02 108.29 97.16
With the nearest neighbours (Å) after each atom.
Sites, in units of the cell vectors:
1 Cl 0.7268 0.0330 0.3908  1 Tm 2.52
2 K 0.4113 0.6613 0.3226  6 Cl 3.09-3.43
3 K 0.5887 0.3387 0.6774  6 Cl 3.09-3.43
4 Cl 0.9280 0.1577 0.9136  2 Tm 2.64-2.75
5 Cl 0.1640 0.3578 0.3908  1 Tm 2.52
6 Cl 0.4855 0.7558 0.9136  2 Tm 2.64-2.75
7 Cl 0.0720 0.8423 0.0864  2 Tm 2.64-2.75
8 Tm 0.1701 0.9201 0.8402  6 Cl 2.52-2.75
9 Cl 0.2732 0.9670 0.6092  1 Tm 2.52
10 Cl 0.8360 0.6422 0.6092  1 Tm 2.52
11 Cl 0.5145 0.2442 0.0864  2 Tm 2.64-2.75
12 Tm 0.8299 0.0799 0.1598  6 Cl 2.52-2.75

No. 9
Compound: KTm2Cl7
Source: the Alexandria database
Functional: PBE
Structure: optimized geometry

Results
**Density of states at the Fermi level**: 0.00 states/eV/atom
**V**: 295.6 Å³ per cell
**Formation energy (no corrections)**: -2.191 eV/atom
**Size of the total moment**: 0.00 μB/f.u.

a b c (Å): 5.2097 7.9556 7.9556
angles (deg): 116.28 90.00 90.00
With the nearest neighbours (Å) after each atom.
Sites, in units of the cell vectors:
1 Cl 0.5000 0.5000 0.5000  2 Tm 2.66
2 Cl 0.5000 0.9521 0.6722  2 Tm 2.71-2.73
3 Tm 0.5000 0.3032 0.6968  7 Cl 2.61-2.73
4 Cl 0.0000 0.2960 0.7040  2 Tm 2.61
5 Cl 0.5000 0.6722 0.9521  2 Tm 2.71-2.73
6 Cl 0.0000 0.7040 0.2960  2 Tm 2.61
7 K 0.0000 0.0000 0.0000  10 Cl 3.58-4.00
8 Cl 0.5000 0.0479 0.3278  2 Tm 2.71-2.73
9 Tm 0.5000 0.6968 0.3032  7 Cl 2.61-2.73
10 Cl 0.5000 0.3278 0.0479  2 Tm 2.71-2.73